The following is a DFT calculation (PBE) of LaGeCI2 after structural relaxation.

Results
The uncorrected formation energy comes out at 1.11 eV per atom. Its space-group type is P4/mmm (123). For the total DFT energy (no corrections), the calculation gives -16.32 eV per cell.

```
5
Lattice="5.621 0.000 0.000 0.000 5.621 0.000 0.000 0.000 5.969" Properties=species:S:1:pos:R:3 pbc="T T T"
La 0.000 0.000 0.000
Ge 0.000 0.000 2.984
C 2.810 2.810 0.000
I 0.000 2.810 2.984
I 2.810 0.000 2.984
```

***

The following is a DFT calculation (PBE) of Gd2CdS4 after structural relaxation.

Results
The uncorrected formation energy comes out at -1.61 eV per atom. Its space-group type is I-42d (122). For the total DFT energy (no corrections), the calculation gives -113.77 eV per cell.

```
14
Lattice="-4.636 4.636 4.138 4.636 -4.636 4.138 4.636 4.636 -4.138" Properties=species:S:1:pos:R:3 pbc="T T T"
Gd 6.953 2.092 -1.034
Gd 2.092 2.318 1.034
Gd -2.318 2.544 3.103
Gd 2.544 2.318 5.172
Cd 4.636 0.000 2.069
Cd 0.000 0.000 4.138
S 2.234 -0.466 1.185
S 5.101 -2.401 2.953
S 4.170 2.234 -0.884
S 7.037 0.466 1.185
S 2.401 -0.466 5.022
S 4.170 2.401 2.953
S 0.466 2.401 3.254
S 2.234 5.101 0.884
```

***

The following is a DFT calculation (PBE) of Ac2Sn2Ru2C after structural relaxation.

Results
The value obtained for the calculated formation energy is -309 kJ/mol of formula units. Its space-group type is C2/m (12). For the total DFT energy (no corrections), the calculation gives -47.20 eV per cell.

```
7
Lattice="6.097 -2.259 0.000 6.097 2.259 0.000 -4.986 0.000 6.073" Properties=species:S:1:pos:R:3 pbc="T T T"
Ac -0.773 0.000 1.714
Ac 7.980 0.000 4.359
Sn 2.617 0.000 1.693
Sn 4.590 0.000 4.379
Ru -0.720 0.000 5.624
Ru 7.927 0.000 0.449
C 6.097 0.000 0.000
```

***

The following is a DFT calculation (PBE) of LiCd2In5Pb after structural relaxation.

Results
The value obtained for the calculated formation energy is 33 kJ/mol of formula units. Its space-group type is P4/mbm (127). For the total DFT energy (no corrections), the calculation gives -41.61 eV per cell.

```
18
Lattice="7.461 0.000 0.000 0.000 7.461 0.000 0.000 0.000 8.735" Properties=species:S:1:pos:R:3 pbc="T T T"
Li 0.000 3.730 0.000
Li 3.730 0.000 0.000
Cd 0.975 2.755 4.368
Cd 2.755 6.486 4.368
Cd 4.706 0.975 4.368
Cd 6.486 4.706 4.368
In 0.000 0.000 4.368
In 1.449 5.180 2.004
In 1.449 5.180 6.731
In 2.281 1.449 2.004
In 2.281 1.449 6.731
In 3.730 3.730 4.368
In 5.180 6.012 2.004
In 5.180 6.012 6.731
In 6.012 2.281 2.004
In 6.012 2.281 6.731
Pb 0.000 0.000 0.000
Pb 3.730 3.730 0.000
```

***

The following is a DFT calculation (PBE) of LiLaCuN2 after structural relaxation.

Results
The uncorrected formation energy comes out at -0.47 eV per atom. Its space-group type is P2/c (13). For the total DFT energy (no corrections), the calculation gives -59.89 eV per cell.

```
10
Lattice="5.649 0.000 0.000 0.000 3.997 0.000 -0.944 0.000 6.266" Properties=species:S:1:pos:R:3 pbc="T T T"
Li -0.236 0.122 1.566
Li -0.708 3.875 4.699
La 2.117 1.029 4.699
La 2.589 2.967 1.566
Cu 0.000 1.998 0.000
Cu -0.472 1.998 3.133
N 1.413 0.880 0.327
N 0.942 3.117 3.460
N 3.764 0.880 2.806
N 3.292 3.117 5.939
```

***

The following is a DFT calculation (PBE) of ScTiCuB2 after structural relaxation.

Results
The value obtained for the calculated formation energy is 432 kJ/mol of formula units. Its space-group type is P4/mmm (123). For the total DFT energy (no corrections), the calculation gives -27.20 eV per cell.

```
5
Lattice="3.888 0.000 0.000 0.000 3.888 0.000 0.000 0.000 4.595" Properties=species:S:1:pos:R:3 pbc="T T T"
Sc 0.000 0.000 0.000
Ti 1.944 1.944 0.000
Cu 0.000 0.000 2.298
B 0.000 1.944 2.298
B 1.944 0.000 2.298
```

***

The following is a DFT calculation (PBE) of PmPr12Er2 after structural relaxation.

Results
The value obtained for the calculated formation energy is 452 kJ/mol of formula units. Its space-group type is P4/nbm (125). For the total DFT energy (no corrections), the calculation gives -133.10 eV per cell.

```
30
Lattice="6.602 0.000 0.000 0.000 6.602 0.000 0.000 0.000 25.883" Properties=species:S:1:pos:R:3 pbc="T T T"
Pm 1.651 4.952 0.000
Pm 4.952 1.651 0.000
Pr 0.453 3.754 2.975
Pr 0.453 6.149 22.908
Pr 0.536 3.837 14.558
Pr 0.536 6.066 11.324
Pr 1.651 1.651 5.590
Pr 1.651 1.651 8.722
Pr 1.651 1.651 17.160
Pr 1.651 1.651 20.292
Pr 2.765 3.837 11.324
Pr 2.765 6.066 14.558
Pr 2.848 3.754 22.908
Pr 2.848 6.149 2.975
Pr 3.754 0.453 22.908
Pr 3.754 2.848 2.975
Pr 3.837 0.536 11.324
Pr 3.837 2.765 14.558
Pr 4.952 4.952 5.590
Pr 4.952 4.952 8.722
Pr 4.952 4.952 17.160
Pr 4.952 4.952 20.292
Pr 6.066 0.536 14.558
Pr 6.066 2.765 11.324
Pr 6.149 0.453 2.975
Pr 6.149 2.848 22.908
Er 1.651 4.952 7.077
Er 1.651 4.952 18.806
Er 4.952 1.651 7.077
Er 4.952 1.651 18.806
```

***

The following is a DFT calculation (PBE) of Tb5ScIn3 after structural relaxation.

Results
The value obtained for the calculated formation energy is -299 kJ/mol of formula units. Its space-group type is P6_3/mcm (193). For the total DFT energy (no corrections), the calculation gives -81.60 eV per cell.

```
18
Lattice="9.312 0.000 0.000 -4.656 8.065 0.000 0.000 0.000 6.654" Properties=species:S:1:pos:R:3 pbc="T T T"
Tb -1.519 2.632 1.663
Tb -3.137 5.433 4.990
Tb 3.039 0.000 1.663
Tb 1.519 2.632 4.990
Tb 0.000 5.376 0.000
Tb 0.000 5.376 3.327
Tb 4.656 2.688 0.000
Tb 4.656 2.688 3.327
Tb 6.274 0.000 4.990
Tb 3.137 5.433 1.663
Sc 0.000 0.000 0.000
Sc 0.000 0.000 3.327
In -1.560 2.703 4.990
In -3.096 5.362 1.663
In 3.121 0.000 4.990
In 1.560 2.703 1.663
In 6.192 0.000 1.663
In 3.096 5.362 4.990
```

***

The following is a DFT calculation (PBE) of Pm2TlPt after structural relaxation.

Results
The value obtained for the calculated formation energy is -283 kJ/mol of formula units. Its space-group type is P4/mmm (123). For the total DFT energy (no corrections), the calculation gives -20.84 eV per cell.

```
4
Lattice="3.645 0.000 0.000 0.000 3.645 0.000 0.000 0.000 7.878" Properties=species:S:1:pos:R:3 pbc="T T T"
Pm 0.000 0.000 1.723
Pm 0.000 0.000 6.155
Tl 1.823 1.823 3.939
Pt 1.823 1.823 0.000
```

***

The following is a DFT calculation (PBE) of Cd2PtAu after structural relaxation.

Results
The value obtained for the calculated formation energy is -87 kJ/mol of formula units. Its space-group type is I4/mmm (139). For the total DFT energy (no corrections), the calculation gives -12.05 eV per cell.

```
4
Lattice="-2.136 2.136 4.023 2.136 -2.136 4.023 2.136 2.136 -4.023" Properties=species:S:1:pos:R:3 pbc="T T T"
Cd 2.136 0.000 2.011
Cd 0.000 2.136 2.011
Pt 0.000 0.000 0.000
Au 0.000 0.000 4.023
```

***

The following is a DFT calculation (PBE) of Ho2IrI after structural relaxation.

Results
The uncorrected formation energy comes out at -0.96 eV per atom. Its space-group type is Cm (8). For the total DFT energy (no corrections), the calculation gives -23.41 eV per cell.

```
4
Lattice="3.590 -2.073 0.000 3.590 2.073 0.000 -0.062 0.000 8.243" Properties=species:S:1:pos:R:3 pbc="T T T"
Ho 0.000 0.000 0.000
Ho 4.726 0.000 5.479
Ir 2.332 0.000 6.806
I 4.787 0.000 2.273
```

***

The following is a DFT calculation (PBE) of SbMo2P after structural relaxation.

Results
The uncorrected formation energy comes out at 0.41 eV per atom. Its space-group type is I-42d (122). For the total DFT energy (no corrections), the calculation gives -59.08 eV per cell.

```
8
Lattice="-2.086 2.086 8.734 2.086 -2.086 8.734 2.086 2.086 -8.734" Properties=species:S:1:pos:R:3 pbc="T T T"
Sb 0.000 0.000 0.000
Sb 0.000 2.086 4.367
Mo 1.043 -0.727 6.551
Mo 1.359 1.043 2.184
Mo 1.043 2.814 -2.184
Mo 0.727 1.043 10.918
P 2.086 0.000 4.367
P 0.000 0.000 8.734
```